Entry 1:
An optimized crystal structure of Li5Ag2Ge, computed with PBE.

Geometry as POSCAR:
```
Li5Ag2Ge
1.0
-0.880 -2.134 -3.792
4.320 -0.889 -0.503
-2.456 -3.883 5.354
Li Ge Ag
5 1 2
direct
0.879 0.379 0.758
0.379 0.879 0.758
0.500 0.500 0.000
0.121 0.621 0.242
0.621 0.121 0.242
0.000 0.000 0.000
0.756 0.756 0.511
0.244 0.244 0.489
```

Computed properties:
M_tot: 0.0 μB/f.u.
space-group type: I4/mmm
volume: 15.56 Å³ per atom
formation enthalpy at 0 K: -2.0 eV/f.u.



Entry 2:
An optimized crystal structure of Li3AgGe4, computed with PBE.

Geometry as POSCAR:
```
Li3AgGe4
1.0
3.122 0.000 0.000
0.000 6.823 0.000
-1.561 -3.412 6.726
Ag Li Ge
1 3 4
direct
0.500 0.000 0.000
0.842 0.842 0.683
0.158 0.158 0.317
0.000 0.500 0.000
0.335 0.145 0.670
0.665 0.855 0.330
0.335 0.526 0.670
0.665 0.474 0.330
```

Computed properties:
M_tot: 0.0 μB/f.u.
space-group type: Immm
volume: 17.91 Å³ per atom
formation enthalpy at 0 K: -0.5 eV/f.u.



Entry 3:
An optimized crystal structure of Li4Ag3Ge2, computed with PBE.

Geometry as POSCAR:
```
Li4Ag3Ge2
1.0
-3.028 1.299 -2.614
-3.143 -3.646 -1.553
-5.775 -1.999 5.693
Li Ag Ge
4 3 2
direct
0.340 0.321 0.120
0.004 0.993 0.333
0.996 0.007 0.667
0.660 0.679 0.880
0.000 0.000 0.000
0.665 0.669 0.547
0.335 0.331 0.453
0.325 0.351 0.780
0.675 0.649 0.220
```

Computed properties:
M_tot: 0.0 μB/f.u.
space-group type: C2/m
volume: 16.20 Å³ per atom
formation enthalpy at 0 K: -1.9 eV/f.u.



Entry 4:
An optimized crystal structure of Li3Ag2Ge, computed with PBE.

Geometry as POSCAR:
```
Li3Ag2Ge
1.0
4.442 0.000 0.000
0.000 9.178 0.000
-2.221 -4.589 5.534
Ag Ge Li
4 2 6
direct
0.638 0.621 0.243
0.896 0.879 0.757
0.104 0.121 0.243
0.362 0.379 0.757
0.726 0.250 0.500
0.274 0.750 0.500
0.000 0.500 0.500
0.500 0.145 0.000
0.500 0.855 0.000
0.000 0.000 0.500
0.000 0.355 0.000
0.000 0.645 0.000
```

Computed properties:
M_tot: 0.0 μB/f.u.
space-group type: Imma
volume: 18.80 Å³ per atom
formation enthalpy at 0 K: -0.7 eV/f.u.



Entry 5:
An optimized crystal structure of Li7Ag4Ge, computed with PBE.

Geometry as POSCAR:
```
Li7Ag4Ge
1.0
-3.670 3.130 0.232
-6.100 -3.665 3.198
-1.665 1.294 6.470
Ag Ge Li
4 1 7
direct
0.569 0.294 0.568
0.678 0.612 0.031
0.322 0.388 0.969
0.431 0.706 0.432
0.000 0.000 0.000
0.786 0.233 0.195
0.190 0.146 0.473
0.214 0.767 0.805
0.500 0.000 0.000
0.074 0.591 0.262
0.810 0.854 0.527
0.926 0.409 0.738
```

Computed properties:
M_tot: 0.0 μB/f.u.
space-group type: C2/m
volume: 17.15 Å³ per atom
formation enthalpy at 0 K: -1.3 eV/f.u.



Entry 6:
An optimized crystal structure of LiAg2Ge, computed with PBE.

Geometry as POSCAR:
```
LiAg2Ge
1.0
-1.706 -2.850 -0.008
2.747 -1.647 0.882
-1.411 0.827 5.943
Ag Li Ge
2 1 1
direct
0.000 0.000 0.763
0.000 0.000 0.237
0.500 0.500 0.000
0.500 0.500 0.500
```

Computed properties:
M_tot: 0.0 μB/f.u.
space-group type: P4/mmm
volume: 17.00 Å³ per atom
formation enthalpy at 0 K: -0.2 eV/f.u.



Entry 7:
An optimized crystal structure of Li7Ag2Ge, computed with PBE.

Geometry as POSCAR:
```
Li7Ag2Ge
1.0
-2.564 3.391 -1.331
-1.370 -4.197 -0.599
-4.488 0.169 9.074
Ge Li Ag
1 7 2
direct
0.000 0.000 0.041
0.333 0.667 0.142
0.333 0.667 0.402
0.667 0.333 0.546
0.667 0.333 0.976
0.000 0.000 0.312
0.000 0.000 0.760
0.333 0.667 0.906
0.333 0.667 0.654
0.667 0.333 0.245
```

Computed properties:
M_tot: 0.0 μB/f.u.
space-group type: P3m1
volume: 17.40 Å³ per atom
formation enthalpy at 0 K: -1.6 eV/f.u.



Entry 8:
An optimized crystal structure of LiAgGe2, computed with PBE.

Geometry as POSCAR:
```
LiAgGe2
1.0
4.176 0.000 0.000
0.000 4.058 0.000
0.000 0.000 4.058
Li Ge Ag
1 2 1
direct
0.500 0.500 0.500
0.000 0.000 0.500
0.000 0.500 0.000
0.500 0.000 0.000
```

Computed properties:
M_tot: 0.0 μB/f.u.
space-group type: P4/mmm
volume: 17.20 Å³ per atom
formation enthalpy at 0 K: -0.2 eV/f.u.